DFT (GGA-PBEsol) results for Sr4Pt after structural relaxation.

Output
Its energy relative to the elements is -1.53 eV/f.u.

a = 7.3670 Å, b = 7.3670 Å, c = 7.3670 Å
α = 93.90°, β = 93.90°, γ = 149.78°
Last column: nearest neighbours and their distance in Å.
Fractional positions:
1 Sr 0.0596 0.7564 0.8160  2 Pt 3.17
2 Sr 0.2436 0.0596 0.3033  2 Pt 3.17
3 Sr 0.7564 0.9404 0.6967  2 Pt 3.17
4 Sr 0.9404 0.2436 0.1840  2 Pt 3.17
5 Pt 0.5000 0.5000 0.0000  8 Sr 3.17

DFT (GGA-PBEsol) results for La2AlP after structural relaxation.

Output
Its energy relative to the elements is -3.09 eV/f.u.

a = 3.7266 Å, b = 3.7266 Å, c = 7.0367 Å
α = 90.00°, β = 90.00°, γ = 90.00°
Last column: nearest neighbours and their distance in Å.
Fractional positions:
1 La 0.0000 0.0000 0.2249  4 P 3.07, 1 La 3.16, 4 Al 3.27
2 La 0.0000 0.0000 0.7751  4 P 3.07, 1 La 3.16, 4 Al 3.27
3 Al 0.5000 0.5000 0.5000  8 La 3.27, 2 P 3.52
4 P 0.5000 0.5000 0.0000  8 La 3.07

DFT (GGA-PBEsol) results for Cr2HgIr after structural relaxation.

Output
Its energy relative to the elements is 1.44 eV/f.u.

a = 5.1421 Å, b = 5.1421 Å, c = 5.1421 Å
α = 147.52°, β = 128.15°, γ = 62.53°
Last column: nearest neighbours and their distance in Å.
Fractional positions:
1 Cr 0.0000 0.0000 0.0000  2 Cr 2.23
2 Cr 0.8064 0.3064 0.5000  2 Cr 2.23
3 Hg 0.5351 0.5351 0.0000  6 Cr 2.69-2.78, 2 Hg 2.88, 4 Ir 2.89-2.94
4 Ir 0.2500 0.7500 0.5000  6 Cr 2.63-2.71, 2 Ir 2.88, 4 Hg 2.89-2.94

DFT (GGA-PBEsol) results for Ga3Pb5F19 after structural relaxation.

Output
The uncorrected formation energy is -242 kJ per mole of atoms.

a = 10.7549 Å, b = 10.7549 Å, c = 10.7549 Å
α = 97.38°, β = 97.38°, γ = 138.01°
Last column: nearest neighbours and their distance in Å.
Fractional positions:
1 Ga 0.0000 0.0000 0.0000  6 F 1.88-1.96
2 Ga 0.1236 0.6236 0.1798  6 F 1.87-1.93
3 Ga 0.4438 0.9438 0.8202  6 F 1.87-1.93
4 Ga 0.5000 0.5000 0.0000  6 F 1.88-1.96
5 Ga 0.6236 0.4438 0.5000  6 F 1.87-1.93
6 Ga 0.9438 0.1236 0.5000  6 F 1.87-1.93
7 Pb 0.0593 0.9100 0.2972  4 F 2.33-2.58
8 Pb 0.1128 0.4100 0.8507  4 F 2.33-2.58
9 Pb 0.2621 0.1128 0.7028  4 F 2.33-2.58
10 Pb 0.4100 0.5593 0.2972  4 F 2.33-2.58
11 Pb 0.4323 0.9323 0.5000  6 F 2.43-2.53
12 Pb 0.5593 0.2621 0.1493  4 F 2.33-2.58
13 Pb 0.6128 0.7621 0.7028  4 F 2.33-2.58
14 Pb 0.7621 0.0593 0.1493  4 F 2.33-2.58
15 Pb 0.9100 0.6128 0.8507  4 F 2.33-2.58
16 Pb 0.9323 0.4323 0.5000  6 F 2.43-2.53
17 F 0.0048 0.2555 0.3710  1 Ga 1.93
18 F 0.0278 0.3802 0.1346  1 Ga 1.92
19 F 0.0439 0.1095 0.1754  1 Ga 1.88
20 F 0.1081 0.6081 0.3518  1 Ga 1.90
21 F 0.1095 0.9341 0.0656  1 Ga 1.88
22 F 0.1188 0.1253 0.5000  1 Ga 1.87
23 F 0.1253 0.6253 0.0065  1 Ga 1.87
24 F 0.1338 0.3844 0.6290  1 Ga 1.93
25 F 0.2040 0.9415 0.5000  3 Pb 2.33-2.53
26 F 0.2458 0.2458 0.0000  2 Ga 1.89-1.96
27 F 0.2456 0.8932 0.8654  1 Ga 1.92
28 F 0.2555 0.8844 0.2506  1 Ga 1.93
29 F 0.2562 0.7562 0.6482  1 Ga 1.90
30 F 0.3685 0.4341 0.8246  1 Ga 1.88
31 F 0.3802 0.2456 0.3524  1 Ga 1.92
32 F 0.3844 0.7555 0.2506  1 Ga 1.93
33 F 0.3932 0.7456 0.8654  1 Ga 1.92
34 F 0.4341 0.6095 0.0656  1 Ga 1.88
35 F 0.4415 0.7040 0.5000  3 Pb 2.33-2.53
36 F 0.5048 0.1338 0.7494  1 Ga 1.93
37 F 0.5278 0.3932 0.6476  1 Ga 1.92
38 F 0.5439 0.3685 0.9344  1 Ga 1.88
39 F 0.6081 0.2562 0.5000  1 Ga 1.90
40 F 0.6095 0.5439 0.1754  1 Ga 1.88
41 F 0.6188 0.1188 0.9935  1 Ga 1.87
42 F 0.6253 0.6188 0.5000  1 Ga 1.87
43 F 0.6338 0.0048 0.7494  1 Ga 1.93
44 F 0.7040 0.2040 0.2625  3 Pb 2.33-2.53
45 F 0.7458 0.7458 0.0000  2 Ga 1.89-1.96
46 F 0.7456 0.8802 0.3524  1 Ga 1.92
47 F 0.7555 0.5048 0.3710  1 Ga 1.93
48 F 0.7562 0.1081 0.5000  1 Ga 1.90
49 F 0.8685 0.0439 0.9344  1 Ga 1.88
50 F 0.8802 0.5278 0.1346  1 Ga 1.92
51 F 0.8844 0.6338 0.6290  1 Ga 1.93
52 F 0.8932 0.0278 0.6476  1 Ga 1.92
53 F 0.9341 0.8685 0.8246  1 Ga 1.88
54 F 0.9415 0.4415 0.7375  3 Pb 2.33-2.53

DFT (GGA-PBEsol) results for AlNiTe2 after structural relaxation.

Output
The uncorrected formation energy is 5 kJ per mole of atoms.

a = 4.8833 Å, b = 4.8833 Å, c = 3.7903 Å
α = 90.00°, β = 90.00°, γ = 106.27°
Last column: nearest neighbours and their distance in Å.
Fractional positions:
1 Al 0.0000 0.0000 0.0000  2 Ni 2.93, 4 Te 2.93
2 Ni 0.5000 0.5000 0.0000  4 Te 2.52
3 Te 0.2868 0.7132 0.5000  2 Ni 2.52
4 Te 0.7132 0.2868 0.5000  2 Ni 2.52

DFT (GGA-PBEsol) results for ZrAg2Hg after structural relaxation.

Output
Its energy relative to the elements is -0.22 eV/f.u.

a = 5.0794 Å, b = 5.0794 Å, c = 5.3123 Å
α = 96.68°, β = 96.68°, γ = 33.32°
Last column: nearest neighbours and their distance in Å.
Fractional positions:
1 Zr 0.0000 0.0000 0.0000  6 Ag 2.89-2.99, 2 Zr 2.91, 4 Hg 3.03
2 Ag 0.2503 0.2503 0.7564  3 Zr 2.89-2.99, 6 Ag 2.91-3.09, 3 Hg 2.93-3.02
3 Ag 0.7497 0.7497 0.2436  3 Zr 2.89-2.99, 6 Ag 2.91-3.09, 3 Hg 2.93-3.02
4 Hg 0.5000 0.5000 0.5000  2 Hg 2.91, 6 Ag 2.93-3.02, 4 Zr 3.03

DFT (GGA-PBEsol) results for Li2Ti2Mn3O10 after structural relaxation.

Output
The uncorrected formation energy is -213 kJ per mole of atoms.

a = 4.9430 Å, b = 4.9465 Å, c = 7.6254 Å
α = 75.11°, β = 76.30°, γ = 82.02°
Last column: nearest neighbours and their distance in Å.
Fractional positions:
1 Li 0.0215 0.2725 0.3950  4 O 1.98-2.09
2 Li 0.9785 0.7275 0.6050  4 O 1.98-2.09
3 Ti 0.4943 0.3658 0.6862  4 O 1.85-2.06
4 Ti 0.5057 0.6342 0.3138  4 O 1.85-2.06
5 Mn 0.0000 0.5000 0.0000  4 O 1.88-1.96
6 Mn 0.4845 0.8029 0.9029  6 O 1.85-2.00
7 Mn 0.5155 0.1971 0.0971  6 O 1.85-2.00
8 O 0.2378 0.6840 0.7850  2 Mn 1.88-1.91, 1 Li 2.04, 1 Ti 2.06
9 O 0.2672 0.4149 0.5151  2 Ti 1.86-1.89, 1 Li 1.98
10 O 0.2815 0.1466 0.9404  2 Mn 1.90-1.93, 1 Ti 2.08
11 O 0.2849 0.5451 0.1291  3 Mn 1.96-2.00, 1 Ti 2.13
12 O 0.3137 0.9826 0.3119  1 Ti 1.85, 1 Mn 1.85, 1 Li 2.00
13 O 0.6863 0.0174 0.6881  1 Ti 1.85, 1 Mn 1.85, 1 Li 2.00
14 O 0.7151 0.4549 0.8709  3 Mn 1.96-2.00, 1 Ti 2.13
15 O 0.7185 0.8534 0.0596  2 Mn 1.90-1.93, 1 Ti 2.08
16 O 0.7328 0.5851 0.4849  2 Ti 1.86-1.89, 1 Li 1.98
17 O 0.7622 0.3160 0.2150  2 Mn 1.88-1.91, 1 Li 2.04, 1 Ti 2.06

DFT (GGA-PBEsol) results for KLa2BeCo after structural relaxation.

Output
Its energy relative to the elements is 3.22 eV/f.u.

a = 5.0626 Å, b = 5.0626 Å, c = 5.8514 Å
α = 90.00°, β = 90.00°, γ = 90.00°
Last column: nearest neighbours and their distance in Å.
Fractional positions:
1 K 0.0000 0.0000 0.0000  2 Co 2.93
2 La 0.0000 0.5000 0.5000  2 Co 2.53
3 La 0.5000 0.0000 0.5000  2 Co 2.53
4 Be 0.5000 0.5000 0.0000  4 K 3.58, 8 La 3.87
5 Co 0.0000 0.0000 0.5000  4 La 2.53

DFT (GGA-PBEsol) results for Ba2YSi after structural relaxation.

Output
The uncorrected formation energy is -16 kJ per mole of atoms.

a = 8.8913 Å, b = 8.8913 Å, c = 8.8913 Å
α = 31.45°, β = 31.45°, γ = 31.45°
Last column: nearest neighbours and their distance in Å.
Fractional positions:
1 Ba 0.0000 0.0000 0.0000  3 Si 3.61, 3 Y 3.67
2 Ba 0.1869 0.1869 0.1869  3 Y 3.63, 3 Si 3.70
3 Y 0.7614 0.7614 0.7614  3 Si 2.78
4 Si 0.4239 0.4239 0.4239  3 Y 2.78

DFT (GGA-PBEsol) results for ZnCo2CuW after structural relaxation.

Output
Its energy relative to the elements is 7.28 eV/f.u.

a = 4.1826 Å, b = 4.1826 Å, c = 4.0979 Å
α = 90.00°, β = 90.00°, γ = 90.00°
Last column: nearest neighbours and their distance in Å.
Fractional positions:
1 Zn 0.0000 0.0000 0.0000  2 Cu 2.05, 4 Co 2.09
2 Co 0.0000 0.5000 0.0000  2 Zn 2.09
3 Co 0.5000 0.0000 0.0000  2 Zn 2.09
4 Cu 0.0000 0.0000 0.5000  2 Zn 2.05
5 W 0.5000 0.5000 0.5000  8 Co 2.93, 4 Cu 2.96

DFT (GGA-PBEsol) results for HfAlGe3 after structural relaxation.

Output
Its energy relative to the elements is 2.84 eV/f.u. The distance to the lowest polymorph of the same formula comes out at 0.00 kJ/mol of atoms.

a = 5.0745 Å, b = 5.0745 Å, c = 5.0745 Å
α = 90.00°, β = 90.00°, γ = 90.00°
Last column: nearest neighbours and their distance in Å.
Fractional positions:
1 Hf 0.0000 0.0000 0.0000  6 Ge 2.54
2 Al 0.5000 0.5000 0.5000  12 Ge 3.59
3 Ge 0.0000 0.0000 0.5000  2 Hf 2.54
4 Ge 0.0000 0.5000 0.0000  2 Hf 2.54
5 Ge 0.5000 0.0000 0.0000  2 Hf 2.54

DFT (GGA-PBEsol) results for CoTeAu2 after structural relaxation.

Output
The uncorrected formation energy is 32 kJ per mole of atoms.

a = 5.3769 Å, b = 5.3769 Å, c = 5.3769 Å
α = 138.36°, β = 138.36°, γ = 60.35°
Last column: nearest neighbours and their distance in Å.
Fractional positions:
1 Co 0.0000 0.0000 0.0000  4 Te 2.70, 8 Au 3.01
2 Te 0.5000 0.5000 0.0000  4 Co 2.70, 8 Au 3.01
3 Au 0.2500 0.7500 0.5000  4 Au 2.70, 4 Co 3.01, 4 Te 3.01
4 Au 0.7500 0.2500 0.5000  4 Au 2.70, 4 Co 3.01, 4 Te 3.01

DFT total energy values (in eV per atom) by entry order: -3.17, -5.92, -7.36, -4.98, -4.28, -4.13, -8.22, -4.07, -4.39, -5.58, -5.31, -4.44.